# CeAsSe

An optimized crystal structure of CeAsSe (PBE-GGA, Alexandria via LeMat-Bulk).

For the formation energy without anion corrections, the calculation gives -1381 meV/atom. As for the total energy: -6.070 eV/atom. As for the crystal system: orthorhombic. For the density of states at the Fermi level, the calculation gives 28.76 states/eV/cell.

The structure belongs to space group Pnma (No. 62); the cell edges are 7.459, 4.013 and 9.741 Å and the angles 90.00°, 90.00° and 90.00°. The distinct sites, in fractional coordinates, are Ce at (0.210, 0.250, 0.154), As at (0.090, 0.250, 0.458) and Se at (0.088, 0.250, 0.840).

# CeAsSe3

An optimized crystal structure of CeAsSe3 (PBE-GGA, Alexandria via LeMat-Bulk).

For the formation energy without anion corrections, the calculation gives -916 meV/atom. As for the total energy: -5.123 eV/atom. As for the crystal system: monoclinic. For the density of states at the Fermi level, the calculation gives 13.99 states/eV/cell.

The structure belongs to space group P2_1/m (No. 11); the cell edges are 7.806, 4.112 and 8.285 Å and the angles 90.00°, 90.60° and 90.00°. The distinct sites, in fractional coordinates, are Ce at (0.119, 0.250, 0.291), As at (0.331, 0.750, 0.862), Se at (0.123, 0.250, 0.906), Se at (0.202, 0.750, 0.527) and Se at (0.385, 0.750, 0.161).

# Ce3As2Se

An optimized crystal structure of Ce3As2Se (PBE-GGA, Alexandria via LeMat-Bulk).

For the formation energy without anion corrections, the calculation gives -1578 meV/atom. As for the total energy: -6.675 eV/atom. As for the crystal system: orthorhombic. For the density of states at the Fermi level, the calculation gives 34.87 states/eV/cell.

The structure belongs to space group Immm (No. 71); the cell edges are 4.220, 5.963 and 12.653 Å and the angles 90.00°, 90.00° and 90.00°. The distinct sites, in fractional coordinates, are Ce at (0.000, 0.000, 0.000), Ce at (0.000, 0.000, 0.331), As at (0.000, 0.500, 0.334) and Se at (0.000, 0.500, 0.000).

# CeAsSe

An optimized crystal structure of CeAsSe (PBE-GGA, Alexandria via LeMat-Bulk).

For the formation energy without anion corrections, the calculation gives -1142 meV/atom. As for the total energy: -5.831 eV/atom. As for the crystal system: trigonal. For the density of states at the Fermi level, the calculation gives 10.38 states/eV/cell.

The structure belongs to space group P-3m1 (No. 164); the cell edges are 4.3999, 4.3999 and 10.4996 Å and the angles 90.00°, 90.00° and 120.00°. The distinct sites, in fractional coordinates, are Ce at (0.0000, 0.0000, 0.1974), As at (0.3333, 0.6667, 0.9838) and Se at (0.3333, 0.6667, 0.3318).

# Ce3As5Se12

An optimized crystal structure of Ce3As5Se12 (PBE-GGA, Alexandria via LeMat-Bulk).

For the formation energy without anion corrections, the calculation gives -653 meV/atom. As for the total energy: -4.796 eV/atom. As for the crystal system: cubic. For the density of states at the Fermi level, the calculation gives 171.25 states/eV/cell.

The structure belongs to space group Ia-3d (No. 230); the cell edges are 16.460, 16.460 and 16.460 Å and the angles 90.00°, 90.00° and 90.00°. The distinct sites, in fractional coordinates, are Ce at (0.000, 0.250, 0.125), As at (0.000, 0.000, 0.000), As at (0.000, 0.250, 0.375) and Se at (0.021, 0.062, 0.651).

# Ce2AsSe

An optimized crystal structure of Ce2AsSe (PBE-GGA, Alexandria via LeMat-Bulk).

For the formation energy without anion corrections, the calculation gives -1647 meV/atom. As for the total energy: -6.647 eV/atom. As for the crystal system: tetragonal. For the density of states at the Fermi level, the calculation gives 46.85 states/eV/cell. Its polymorph energy (0 for the lowest one) is 0.0 meV/atom.

The structure belongs to space group I4_1/amd (No. 141, origin choice 2); the cell edges are 5.959, 5.959 and 11.935 Å and the angles 90.00°, 90.00° and 90.00°. The distinct sites, in fractional coordinates, are Ce at (0.000, 0.250, 0.123), As at (0.000, 0.250, 0.875) and Se at (0.000, 0.250, 0.375).